[1]
Here is crystalline Ti2IrN at its relaxed geometry from the Alexandria database. Energies are from PBE.

```
Ti2IrN
1.0
-2.856 2.856 3.671
2.856 -2.856 3.671
2.856 2.856 -3.671
Ti Ir N
4 2 2
direct
0.048 0.625 0.923
0.375 0.298 0.423
0.702 0.125 0.077
0.875 0.952 0.577
0.250 0.750 0.500
0.500 0.500 0.000
0.000 0.000 0.000
0.750 0.250 0.500
```

- SG = I-42d
- final energy (eV/f.u.) = -36.01

[2]
Here is crystalline TiV2IrN at its relaxed geometry from the Alexandria database. Energies are from PBE.

```
TiV2IrN
1.0
3.901 0.000 0.000
0.000 3.901 0.000
0.000 0.000 4.132
Ti V Ir N
1 2 1 1
direct
0.000 0.000 0.000
0.000 0.500 0.500
0.500 0.000 0.500
0.500 0.500 0.000
0.000 0.000 0.500
```

- SG = P4/mmm
- final energy (eV/f.u.) = -47.50

[3]
Here is crystalline TiIr2WN at its relaxed geometry from the Alexandria database. Energies are from PBE.

```
TiIr2WN
1.0
4.723 0.000 0.000
0.000 4.723 0.000
0.000 0.000 4.899
Ti Ir W N
1 2 1 1
direct
0.000 0.000 0.000
0.000 0.500 0.500
0.500 0.000 0.500
0.000 0.000 0.500
0.500 0.500 0.000
```

- SG = P4/mmm
- final energy (eV/f.u.) = -34.98

[4]
Here is crystalline Y2TiIrN at its relaxed geometry from the Alexandria database. Energies are from PBE.

```
Y2TiIrN
1.0
4.804 0.000 0.000
0.000 4.804 0.000
0.000 0.000 3.967
Y Ti Ir N
2 1 1 1
direct
0.000 0.500 0.000
0.500 0.000 0.000
0.000 0.000 0.500
0.500 0.500 0.500
0.000 0.000 0.000
```

- SG = P4/mmm
- final energy (eV/f.u.) = -42.58

[5]
Here is crystalline Zr2TiIrN at its relaxed geometry from the Alexandria database. Energies are from PBE.

```
Zr2TiIrN
1.0
4.497 0.000 0.000
0.000 4.497 0.000
0.000 0.000 3.981
Zr Ti Ir N
2 1 1 1
direct
0.000 0.500 0.000
0.500 0.000 0.000
0.000 0.000 0.500
0.500 0.500 0.500
0.000 0.000 0.000
```

- SG = P4/mmm
- relative energy among the computed polymorphs (eV/atom) = 0.000
- final energy (eV/f.u.) = -47.19

[6]
Here is crystalline Zr2TiIrN at its relaxed geometry from the Alexandria database. Energies are from PBE.

```
Zr2TiIrN
1.0
3.542 0.000 0.000
0.000 3.542 0.000
0.000 0.000 12.856
Zr Ti Ir N
4 2 2 2
direct
0.250 0.250 0.084
0.250 0.250 0.742
0.750 0.750 0.258
0.750 0.750 0.916
0.250 0.750 0.500
0.750 0.250 0.500
0.250 0.250 0.334
0.750 0.750 0.666
0.250 0.250 0.913
0.750 0.750 0.087
```

- SG = P4/nmm
- relative energy among the computed polymorphs (eV/atom) = 0.122
- final energy (eV/f.u.) = -46.58

no.,N(E_F) (states/eV/atom)
1,0.19
2,1.15
3,1.23
4,1.06
5,1.09
6,0.69